This record from Alexandria describes a geometry-optimized LiNi5O3F5 structure. The functional is GGA+U.

Values from the calculation:
The calculation puts the total energy at -4.529 eV/atom. Its space-group type is No. 160. As for the crystal system: trigonal. The value obtained for the density of states at the Fermi level is 0.000 states/eV/f.u.

a b c (Å): 6.0960 6.0960 6.0960
angles (deg): 59.38 59.38 59.38
With the nearest neighbours (Å) after each atom.
Fractional coordinates of all 14 atoms:
Li  0.0000  0.0000  0.0000  4 F 1.99-2.00
Ni  0.1336  0.6235  0.6235  2 O 1.98, 4 F 2.09-2.12
Ni  0.2294  0.2294  0.2294  3 O 1.93
Ni  0.6140  0.6140  0.6140  3 O 2.03, 3 F 2.14
Ni  0.6235  0.1336  0.6235  2 O 1.98, 4 F 2.09-2.12
Ni  0.6235  0.6235  0.1336  2 O 1.98, 4 F 2.09-2.12
O  0.3770  0.3770  0.8411  4 Ni 1.93-2.03
O  0.3770  0.8411  0.3770  4 Ni 1.93-2.03
O  0.8411  0.3770  0.3770  4 Ni 1.93-2.03
F  0.3775  0.3775  0.3775  4 Ni 2.11-2.22
F  0.4023  0.8620  0.8620  1 Li 1.99, 3 Ni 2.12-2.14
F  0.8620  0.4023  0.8620  1 Li 1.99, 3 Ni 2.12-2.14
F  0.8620  0.8620  0.4023  1 Li 1.99, 3 Ni 2.12-2.14
F  0.8670  0.8670  0.8670  1 Li 2.00, 3 Ni 2.09